(1)
{
  "formula": "TcRu2Pb",
  "functional": "PBE-GGA",
  "state": "relaxed",
  "dos_at_fermi_per_ev_atom": 0.69,
  "magnetic_moment_mub_per_atom": 0.0000,
  "crystal_system": "tetragonal",
  "dft_energy_ev_per_atom": -7.771,
  "formation_enthalpy_0k_kcal_per_mol_atoms": 8.89,
  "mass_density_g_cm3": 12.76,
  "cell": [[2.943, 0.014, 0.000], [-0.013, 2.943, 0.000], [0.000, 0.000, 7.624]],
  "species": ["Pb", "Ru", "Ru", "Tc"],
  "frac_coords": [[0.500, 0.500, 0.750], [0.000, 0.000, 0.029], [0.000, 0.000, 0.471], [0.500, 0.500, 0.250]]
}

(2)
{
  "formula": "Zr4TlNi",
  "functional": "PBE-GGA",
  "state": "relaxed",
  "dos_at_fermi_per_ev_atom": 0.95,
  "magnetic_moment_mub_per_atom": 0.0000,
  "crystal_system": "cubic",
  "dft_energy_ev_per_atom": -6.618,
  "formation_enthalpy_0k_kcal_per_mol_atoms": 10.12,
  "mass_density_g_cm3": 7.93,
  "cell": [[0.000, 4.035, 4.035], [4.035, 0.000, 4.035], [4.035, 4.035, 0.000]],
  "species": ["Zr", "Zr", "Zr", "Zr", "Tl", "Ni"],
  "frac_coords": [[0.874, 0.375, 0.375], [0.375, 0.375, 0.874], [0.375, 0.874, 0.375], [0.375, 0.375, 0.375], [0.000, 0.000, 0.000], [0.750, 0.750, 0.750]]
}